(P)
Computed, not measured: BePt2Br after structural relaxation at the GGA-PBEsol level of DFT.

Unit cell a=3.948 b=3.948 c=8.712 alpha=103.09 beta=103.09 gamma=90.00
Fractional positions:
1 Be 0.750 0.250 0.500
2 Be 0.500 0.500 0.000
3 Br 0.250 0.750 0.500
4 Br 0.000 0.000 0.000
5 Pt 0.853 0.375 0.250
6 Pt 0.397 0.875 0.250
7 Pt 0.625 0.603 0.750
8 Pt 0.125 0.147 0.750

Properties
The value obtained for the density is 12.37 Mg/m³. Its density of states at the Fermi level is 0.438 states/eV per atom. The volume comes out at 64 Å³/f.u.

(Q)
Computed, not measured: BePt2Br after structural relaxation at the GGA-PBEsol level of DFT.

Unit cell a=3.645 b=4.241 c=4.285 alpha=103.57 beta=90.00 gamma=90.00
Fractional positions:
1 Be 0.500 0.000 0.500
2 Br 0.500 0.500 0.000
3 Pt 0.000 0.201 0.299
4 Pt 0.000 0.799 0.701

Properties
The value obtained for the density is 12.35 Mg/m³. Its density of states at the Fermi level is 0.577 states/eV per atom. The volume comes out at 64 Å³/f.u.

The most stable of them is (Q).

(P)
Computed, not measured: BePt2Br after structural relaxation at the GGA-PBEsol level of DFT.

Unit cell a=2.946 b=4.330 c=5.406 alpha=113.61 beta=105.81 gamma=90.00
Fractional positions:
1 Be 0.500 0.000 0.000
2 Br 0.000 0.500 0.000
3 Pt 0.809 0.809 0.618
4 Pt 0.191 0.191 0.382

Properties
The value obtained for the density is 13.18 Mg/m³. Its density of states at the Fermi level is 0.805 states/eV per atom. The volume comes out at 60 Å³/f.u.

(Q)
Computed, not measured: BePt2Br after structural relaxation at the GGA-PBEsol level of DFT.

Unit cell a=2.878 b=3.532 c=6.262 alpha=90.00 beta=90.00 gamma=90.00
Fractional positions:
1 Be 0.000 0.000 0.395
2 Br 0.500 0.500 0.742
3 Pt 0.000 0.000 0.043
4 Pt 0.500 0.500 0.320

Properties
The value obtained for the density is 12.50 Mg/m³. Its density of states at the Fermi level is 0.566 states/eV per atom. The volume comes out at 64 Å³/f.u.

(R)
Computed, not measured: BePt2Br after structural relaxation at the GGA-PBEsol level of DFT.

Unit cell a=4.435 b=4.435 c=4.435 alpha=60.00 beta=60.00 gamma=60.00
Fractional positions:
1 Be 0.500 0.500 0.500
2 Br 0.250 0.250 0.250
3 Pt 0.000 0.000 0.000
4 Pt 0.750 0.750 0.750

Properties
The value obtained for the density is 12.90 Mg/m³. Its density of states at the Fermi level is 1.056 states/eV per atom. The volume comes out at 62 Å³/f.u.

The most stable of them is (Q).